The following is a PBE calculation of a geometry-optimized CoIr4Ru structure, from Alexandria.

- Symmetry: No. 216
- Size of the total moment: 4.3 μB/f.u.
- E: -7.9435 eV/atom
- Volume: 93.9 Å³ per cell
- Fermi-level density of states: 12.3 states/eV/f.u.
- Energy relative to the elements: 0.694 eV/atom

a = 5.1016 Å, b = 5.1016 Å, c = 5.1016 Å
α = 60.00°, β = 60.00°, γ = 60.00°
Closest atoms and distances in Å follow each position.
Element x y z (fractional)
Co: 0.0000 0.0000 0.0000  12 Ir 2.99, 4 Ru 3.12
Ir: 0.6251 0.6251 0.1247  6 Ir 2.55
Ir: 0.6251 0.1247 0.6251  6 Ir 2.55
Ir: 0.6251 0.6251 0.6251  6 Ir 2.55
Ir: 0.1247 0.6251 0.6251  6 Ir 2.55
Ru: 0.2500 0.2500 0.2500  12 Ir 2.99, 4 Co 3.12